This record from Alexandria describes a PBEsol-optimized structure of ScTc2Br. The functional is meta-GGA SCAN.

Properties
electronic total energy = -25.37 eV per atom
raw formation energy = 13.5 kcal/mol of atoms
DOS(E_F) = 4.59 states/eV/f.u.

CIF file:
```
data_ScTc2Br
_chemical_formula_sum 'Sc3 Tc6 Br3'
_cell_length_a 2.9828
_cell_length_b 2.9828
_cell_length_c 25.8004
_cell_angle_alpha 90.00
_cell_angle_beta 90.00
_cell_angle_gamma 120.00
_symmetry_space_group_name_H-M 'R -3 m'
_symmetry_Int_Tables_number 166
_symmetry_space_group_name_Hall '-R 3 2"'
loop_
_atom_site_label
_atom_site_fract_x
_atom_site_fract_y
_atom_site_fract_z
Sc1 0.0000 0.0000 0.0000
Tc1 0.0000 0.0000 0.2468
Br1 0.0000 0.0000 0.5000
```